one) ! Al2Tl2Hg, optimized geometry, DFT PBE; values from VASP
! N(E_F) = 2.93 states/eV per cell
! spin magnetization = 0.0 μB/f.u.
&SYSTEM
  ibrav = 0, nat = 5, ntyp = 3
/
ATOMIC_SPECIES
Al 26.98 Al.upf
Tl 204.38 Tl.upf
Hg 200.59 Hg.upf
CELL_PARAMETERS angstrom
-1.910 1.910 9.102
1.910 -1.910 9.102
1.910 1.910 -9.102
ATOMIC_POSITIONS crystal
Al 0.250 0.750 0.500
Al 0.750 0.250 0.500
Tl 0.109 0.109 0.000
Tl 0.891 0.891 0.000
Hg 0.500 0.500 0.000

***

two) ! Al2Tl2Hg, optimized geometry, DFT PBE; values from VASP
! N(E_F) = 2.53 states/eV per cell
! spin magnetization = 0.0 μB/f.u.
&SYSTEM
  ibrav = 0, nat = 10, ntyp = 3
/
ATOMIC_SPECIES
Al 26.98 Al.upf
Tl 204.38 Tl.upf
Hg 200.59 Hg.upf
CELL_PARAMETERS angstrom
6.986 0.000 0.000
0.000 6.986 0.000
0.000 0.000 5.100
ATOMIC_POSITIONS crystal
Al 0.134 0.366 0.000
Al 0.366 0.866 0.000
Al 0.634 0.134 0.000
Al 0.866 0.634 0.000
Tl 0.175 0.675 0.500
Tl 0.325 0.175 0.500
Tl 0.675 0.825 0.500
Tl 0.825 0.325 0.500
Hg 0.000 0.000 0.000
Hg 0.500 0.500 0.000

***

The structure with the most favorable energy is two); the runner-up is 53 meV per atom above it.

***

one) ! Al2Tl2Hg, optimized geometry, DFT PBE; values from VASP
! N(E_F) = 4.36 states/eV per cell
! spin magnetization = 0.0 μB/f.u.
&SYSTEM
  ibrav = 0, nat = 10, ntyp = 3
/
ATOMIC_SPECIES
Al 26.98 Al.upf
Tl 204.38 Tl.upf
Hg 200.59 Hg.upf
CELL_PARAMETERS angstrom
9.037 0.000 0.000
0.000 9.037 0.000
0.000 0.000 3.163
ATOMIC_POSITIONS crystal
Al 0.110 0.390 0.000
Al 0.390 0.890 0.000
Al 0.610 0.110 0.000
Al 0.890 0.610 0.000
Tl 0.185 0.685 0.500
Tl 0.315 0.185 0.500
Tl 0.685 0.815 0.500
Tl 0.815 0.315 0.500
Hg 0.000 0.000 0.500
Hg 0.500 0.500 0.500

***

two) ! Al2Tl2Hg, optimized geometry, DFT PBE; values from VASP
! N(E_F) = 2.86 states/eV per cell
! spin magnetization = 0.0 μB/f.u.
&SYSTEM
  ibrav = 0, nat = 5, ntyp = 3
/
ATOMIC_SPECIES
Al 26.98 Al.upf
Tl 204.38 Tl.upf
Hg 200.59 Hg.upf
CELL_PARAMETERS angstrom
-2.299 2.299 6.270
2.299 -2.299 6.270
2.299 2.299 -6.270
ATOMIC_POSITIONS crystal
Al 0.102 0.102 0.000
Al 0.898 0.898 0.000
Tl 0.250 0.750 0.500
Tl 0.750 0.250 0.500
Hg 0.500 0.500 0.000

***

The structure with the most favorable energy is one); the runner-up is 25 meV per atom above it.

***

one) ! ZrAlTl2Hg, optimized geometry, DFT PBE; values from VASP
! N(E_F) = 4.50 states/eV per cell
! spin magnetization = 0.0 μB/f.u.
&SYSTEM
  ibrav = 0, nat = 5, ntyp = 4
/
ATOMIC_SPECIES
Zr 91.22 Zr.upf
Al 26.98 Al.upf
Tl 204.38 Tl.upf
Hg 200.59 Hg.upf
CELL_PARAMETERS angstrom
5.594 0.000 0.000
0.000 5.594 0.000
0.000 0.000 4.860
ATOMIC_POSITIONS crystal
Zr 0.000 0.000 0.000
Al 0.500 0.500 0.000
Tl 0.000 0.500 0.500
Tl 0.500 0.000 0.500
Hg 0.500 0.500 0.500

***

two) ! ZrAlTl2Hg, optimized geometry, DFT PBE; values from VASP
! N(E_F) = 4.78 states/eV per cell
! spin magnetization = 0.0 μB/f.u.
&SYSTEM
  ibrav = 0, nat = 5, ntyp = 4
/
ATOMIC_SPECIES
Zr 91.22 Zr.upf
Al 26.98 Al.upf
Tl 204.38 Tl.upf
Hg 200.59 Hg.upf
CELL_PARAMETERS angstrom
5.439 0.000 0.000
0.000 5.439 0.000
0.000 0.000 5.588
ATOMIC_POSITIONS crystal
Zr 0.000 0.000 0.000
Al 0.500 0.500 0.000
Tl 0.000 0.500 0.500
Tl 0.500 0.000 0.500
Hg 0.000 0.000 0.500

***

The structure with the most favorable energy is one); the runner-up is 53 meV per atom above it.

***

one) ! Tm3AlHg, optimized geometry, DFT PBE; values from VASP
! N(E_F) = 10.59 states/eV per cell
! spin magnetization = 0.0 μB/f.u.
&SYSTEM
  ibrav = 0, nat = 10, ntyp = 3
/
ATOMIC_SPECIES
Tm 168.93 Tm.upf
Al 26.98 Al.upf
Hg 200.59 Hg.upf
CELL_PARAMETERS angstrom
2.506 -10.114 0.000
2.506 10.114 0.000
0.000 0.000 5.013
ATOMIC_POSITIONS crystal
Tm 0.060 0.940 0.750
Tm 0.249 0.751 0.750
Tm 0.437 0.563 0.750
Tm 0.563 0.437 0.250
Tm 0.751 0.249 0.250
Tm 0.940 0.060 0.250
Al 0.156 0.844 0.250
Al 0.844 0.156 0.750
Hg 0.343 0.657 0.250
Hg 0.657 0.343 0.750

***

two) ! Tm3AlHg, optimized geometry, DFT PBE; values from VASP
! N(E_F) = 20.10 states/eV per cell
! spin magnetization = 0.0 μB/f.u.
&SYSTEM
  ibrav = 0, nat = 20, ntyp = 3
/
ATOMIC_SPECIES
Tm 168.93 Tm.upf
Al 26.98 Al.upf
Hg 200.59 Hg.upf
CELL_PARAMETERS angstrom
7.583 0.000 0.000
0.000 9.064 0.000
0.000 0.000 7.993
ATOMIC_POSITIONS crystal
Tm 0.100 0.250 0.239
Tm 0.155 0.063 0.838
Tm 0.155 0.437 0.838
Tm 0.345 0.563 0.338
Tm 0.345 0.937 0.338
Tm 0.400 0.750 0.739
Tm 0.600 0.250 0.261
Tm 0.655 0.063 0.662
Tm 0.655 0.437 0.662
Tm 0.845 0.563 0.162
Tm 0.845 0.937 0.162
Tm 0.900 0.750 0.761
Al 0.161 0.750 0.047
Al 0.339 0.250 0.547
Al 0.661 0.750 0.453
Al 0.839 0.250 0.953
Hg 0.000 0.000 0.500
Hg 0.000 0.500 0.500
Hg 0.500 0.000 0.000
Hg 0.500 0.500 0.000

***

The structure with the most favorable energy is one); the runner-up is 156 meV per atom above it.

***

one) ! Tm2AlHg, optimized geometry, DFT PBE; values from VASP
! N(E_F) = 2.53 states/eV per cell
! spin magnetization = 0.0 μB/f.u.
&SYSTEM
  ibrav = 0, nat = 4, ntyp = 3
/
ATOMIC_SPECIES
Tm 168.93 Tm.upf
Al 26.98 Al.upf
Hg 200.59 Hg.upf
CELL_PARAMETERS angstrom
1.787 1.032 9.209
-1.787 1.032 9.209
0.000 -2.064 9.209
ATOMIC_POSITIONS crystal
Tm 0.247 0.247 0.247
Tm 0.753 0.753 0.753
Al 0.500 0.500 0.500
Hg 0.000 0.000 0.000

***

two) ! Tm2AlHg, optimized geometry, DFT PBE; values from VASP
! N(E_F) = 2.73 states/eV per cell
! spin magnetization = 0.0 μB/f.u.
&SYSTEM
  ibrav = 0, nat = 4, ntyp = 3
/
ATOMIC_SPECIES
Tm 168.93 Tm.upf
Al 26.98 Al.upf
Hg 200.59 Hg.upf
CELL_PARAMETERS angstrom
3.576 0.000 0.000
0.000 3.576 0.000
0.000 0.000 7.413
ATOMIC_POSITIONS crystal
Tm 0.000 0.000 0.241
Tm 0.000 0.000 0.759
Al 0.500 0.500 0.000
Hg 0.500 0.500 0.500

***

three) ! Tm2AlHg, optimized geometry, DFT PBE; values from VASP
! N(E_F) = 4.02 states/eV per cell
! spin magnetization = 0.0 μB/f.u.
&SYSTEM
  ibrav = 0, nat = 4, ntyp = 3
/
ATOMIC_SPECIES
Tm 168.93 Tm.upf
Al 26.98 Al.upf
Hg 200.59 Hg.upf
CELL_PARAMETERS angstrom
0.000 3.633 3.633
3.633 0.000 3.633
3.633 3.633 0.000
ATOMIC_POSITIONS crystal
Tm 0.250 0.250 0.250
Tm 0.750 0.750 0.750
Al 0.000 0.000 0.000
Hg 0.500 0.500 0.500

***

The structure with the most favorable energy is two); the runner-up is 33 meV per atom above it.

***

one) ! Tm4AlHg2, optimized geometry, DFT PBE; values from VASP
! N(E_F) = 5.66 states/eV per cell
! spin magnetization = 0.0 μB/f.u.
&SYSTEM
  ibrav = 0, nat = 7, ntyp = 3
/
ATOMIC_SPECIES
Tm 168.93 Tm.upf
Al 26.98 Al.upf
Hg 200.59 Hg.upf
CELL_PARAMETERS angstrom
2.543 1.468 8.264
-2.543 1.468 8.264
0.000 -2.936 8.264
ATOMIC_POSITIONS crystal
Tm 0.122 0.122 0.122
Tm 0.374 0.374 0.374
Tm 0.626 0.626 0.626
Tm 0.878 0.878 0.878
Al 0.500 0.500 0.500
Hg 0.249 0.249 0.249
Hg 0.751 0.751 0.751

***

two) ! Tm4AlHg2, optimized geometry, DFT PBE; values from VASP
! N(E_F) = 7.28 states/eV per cell
! spin magnetization = 0.0 μB/f.u.
&SYSTEM
  ibrav = 0, nat = 7, ntyp = 3
/
ATOMIC_SPECIES
Tm 168.93 Tm.upf
Al 26.98 Al.upf
Hg 200.59 Hg.upf
CELL_PARAMETERS angstrom
2.539 1.466 8.747
-2.539 1.466 8.747
0.000 -2.932 8.747
ATOMIC_POSITIONS crystal
Tm 0.130 0.130 0.130
Tm 0.285 0.285 0.285
Tm 0.715 0.715 0.715
Tm 0.870 0.870 0.870
Al 0.500 0.500 0.500
Hg 0.399 0.399 0.399
Hg 0.601 0.601 0.601

***

The structure with the most favorable energy is one); the runner-up is 109 meV per atom above it.

***

one) ! TmAl2Hg, optimized geometry, DFT PBE; values from VASP
! N(E_F) = 1.31 states/eV per cell
! spin magnetization = 0.0 μB/f.u.
&SYSTEM
  ibrav = 0, nat = 4, ntyp = 3
/
ATOMIC_SPECIES
Tm 168.93 Tm.upf
Al 26.98 Al.upf
Hg 200.59 Hg.upf
CELL_PARAMETERS angstrom
4.356 0.000 0.000
0.000 4.356 0.000
0.000 0.000 4.282
ATOMIC_POSITIONS crystal
Tm 0.000 0.000 0.000
Al 0.000 0.500 0.500
Al 0.500 0.000 0.500
Hg 0.500 0.500 0.000

***

two) ! TmAl2Hg, optimized geometry, DFT PBE; values from VASP
! N(E_F) = 1.86 states/eV per cell
! spin magnetization = 0.0 μB/f.u.
&SYSTEM
  ibrav = 0, nat = 4, ntyp = 3
/
ATOMIC_SPECIES
Tm 168.93 Tm.upf
Al 26.98 Al.upf
Hg 200.59 Hg.upf
CELL_PARAMETERS angstrom
2.217 1.280 5.103
-2.217 1.280 5.103
0.000 -2.560 5.103
ATOMIC_POSITIONS crystal
Tm 0.000 0.000 0.000
Al 0.222 0.222 0.222
Al 0.778 0.778 0.778
Hg 0.500 0.500 0.500

***

The structure with the most favorable energy is one); the runner-up is 189 meV per atom above it.

***

one) ! YTmAlHg, optimized geometry, DFT PBE; values from VASP
! N(E_F) = 2.68 states/eV per cell
! spin magnetization = 0.0 μB/f.u.
&SYSTEM
  ibrav = 0, nat = 4, ntyp = 4
/
ATOMIC_SPECIES
Y 88.91 Y.upf
Tm 168.93 Tm.upf
Al 26.98 Al.upf
Hg 200.59 Hg.upf
CELL_PARAMETERS angstrom
3.610 0.000 0.000
0.000 3.610 0.000
0.000 0.000 7.434
ATOMIC_POSITIONS crystal
Y 0.000 0.000 0.000
Tm 0.000 0.000 0.482
Al 0.500 0.500 0.245
Hg 0.500 0.500 0.730

***

two) ! YTmAlHg, optimized geometry, DFT PBE; values from VASP
! N(E_F) = 4.29 states/eV per cell
! spin magnetization = 0.0 μB/f.u.
&SYSTEM
  ibrav = 0, nat = 4, ntyp = 4
/
ATOMIC_SPECIES
Y 88.91 Y.upf
Tm 168.93 Tm.upf
Al 26.98 Al.upf
Hg 200.59 Hg.upf
CELL_PARAMETERS angstrom
0.000 3.660 3.660
3.660 0.000 3.660
3.660 3.660 0.000
ATOMIC_POSITIONS crystal
Y 0.000 0.000 0.000
Tm 0.500 0.500 0.500
Al 0.250 0.250 0.250
Hg 0.750 0.750 0.750

***

The structure with the most favorable energy is one); the runner-up is 33 meV per atom above it.

***

one) ! UAlHg, optimized geometry, DFT PBE; values from VASP
! N(E_F) = 7.64 states/eV per cell
! spin magnetization = 0.0 μB/f.u.
&SYSTEM
  ibrav = 0, nat = 6, ntyp = 3
/
ATOMIC_SPECIES
U 238.03 U.upf
Al 26.98 Al.upf
Hg 200.59 Hg.upf
CELL_PARAMETERS angstrom
2.783 -1.456 0.000
2.783 1.456 0.000
-2.580 0.000 15.206
ATOMIC_POSITIONS crystal
U 0.047 0.047 0.421
U 0.953 0.953 0.579
Al 0.284 0.284 0.255
Al 0.716 0.716 0.745
Hg 0.247 0.247 0.908
Hg 0.753 0.753 0.092

***

two) ! UAlHg, optimized geometry, DFT PBE; values from VASP
! N(E_F) = 5.72 states/eV per cell
! spin magnetization = 1.9 μB/f.u.
&SYSTEM
  ibrav = 0, nat = 3, ntyp = 3
/
ATOMIC_SPECIES
U 238.03 U.upf
Al 26.98 Al.upf
Hg 200.59 Hg.upf
CELL_PARAMETERS angstrom
3.008 0.000 0.000
-1.504 2.605 0.000
0.000 0.000 7.965
ATOMIC_POSITIONS crystal
U 0.000 0.000 0.000
Al 0.333 0.667 0.674
Hg 0.667 0.333 0.360

***

The structure with the most favorable energy is one); the runner-up is 19 meV per atom above it.

***

one) ! Y2Al2Hg, optimized geometry, DFT PBE; values from VASP
! N(E_F) = 7.29 states/eV per cell
! spin magnetization = 0.2 μB/f.u.
&SYSTEM
  ibrav = 0, nat = 10, ntyp = 3
/
ATOMIC_SPECIES
Y 88.91 Y.upf
Al 26.98 Al.upf
Hg 200.59 Hg.upf
CELL_PARAMETERS angstrom
5.486 -2.274 0.000
5.486 2.274 0.000
-4.832 0.000 9.485
ATOMIC_POSITIONS crystal
Y 0.008 0.008 0.325
Y 0.181 0.181 0.095
Y 0.819 0.819 0.905
Y 0.992 0.992 0.675
Al 0.365 0.365 0.437
Al 0.475 0.475 0.112
Al 0.525 0.525 0.888
Al 0.635 0.635 0.563
Hg 0.276 0.276 0.659
Hg 0.724 0.724 0.341

***

two) ! Y2Al2Hg, optimized geometry, DFT PBE; values from VASP
! N(E_F) = 7.97 states/eV per cell
! spin magnetization = 0.0 μB/f.u.
&SYSTEM
  ibrav = 0, nat = 10, ntyp = 3
/
ATOMIC_SPECIES
Y 88.91 Y.upf
Al 26.98 Al.upf
Hg 200.59 Hg.upf
CELL_PARAMETERS angstrom
8.594 0.000 0.000
0.000 8.594 0.000
0.000 0.000 3.530
ATOMIC_POSITIONS crystal
Y 0.185 0.315 0.000
Y 0.315 0.815 0.000
Y 0.685 0.185 0.000
Y 0.815 0.685 0.000
Al 0.108 0.608 0.500
Al 0.392 0.108 0.500
Al 0.608 0.892 0.500
Al 0.892 0.392 0.500
Hg 0.000 0.000 0.000
Hg 0.500 0.500 0.000

***

The structure with the most favorable energy is one); the runner-up is 272 meV per atom above it.

***

one) ! YAlHg, optimized geometry, DFT PBE; values from VASP
! N(E_F) = 6.75 states/eV per cell
! spin magnetization = 0.0 μB/f.u.
&SYSTEM
  ibrav = 0, nat = 12, ntyp = 3
/
ATOMIC_SPECIES
Y 88.91 Y.upf
Al 26.98 Al.upf
Hg 200.59 Hg.upf
CELL_PARAMETERS angstrom
6.405 0.000 0.000
0.000 4.669 0.000
0.000 0.000 9.202
ATOMIC_POSITIONS crystal
Y 0.158 0.250 0.084
Y 0.342 0.750 0.584
Y 0.658 0.250 0.416
Y 0.842 0.750 0.916
Al 0.144 0.250 0.419
Al 0.356 0.750 0.919
Al 0.644 0.250 0.081
Al 0.856 0.750 0.581
Hg 0.032 0.250 0.725
Hg 0.468 0.750 0.225
Hg 0.532 0.250 0.775
Hg 0.968 0.750 0.275

***

two) ! YAlHg, optimized geometry, DFT PBE; values from VASP
! N(E_F) = 4.96 states/eV per cell
! spin magnetization = 0.0 μB/f.u.
&SYSTEM
  ibrav = 0, nat = 6, ntyp = 3
/
ATOMIC_SPECIES
Y 88.91 Y.upf
Al 26.98 Al.upf
Hg 200.59 Hg.upf
CELL_PARAMETERS angstrom
-2.314 3.654 4.018
2.314 -3.654 4.018
2.314 3.654 -4.018
ATOMIC_POSITIONS crystal
Y 0.000 0.000 0.000
Y 0.548 0.048 0.500
Al 0.151 0.359 0.792
Al 0.567 0.359 0.208
Hg 0.419 0.689 0.729
Hg 0.960 0.689 0.271

***

three) ! YAlHg, optimized geometry, DFT PBE; values from VASP
! N(E_F) = 2.24 states/eV per cell
! spin magnetization = 0.0 μB/f.u.
&SYSTEM
  ibrav = 0, nat = 3, ntyp = 3
/
ATOMIC_SPECIES
Y 88.91 Y.upf
Al 26.98 Al.upf
Hg 200.59 Hg.upf
CELL_PARAMETERS angstrom
-1.706 1.706 5.845
1.706 -1.706 5.845
1.706 1.706 -5.845
ATOMIC_POSITIONS crystal
Y 0.000 0.000 0.000
Al 0.672 0.672 0.000
Hg 0.315 0.315 0.000

***

The structure with the most favorable energy is two); the runner-up is 175 meV per atom above it.